The following is a GGA-PBE calculation of a relaxed structure of NaSr2Mg3Cd12, from Alexandria via LeMat-Bulk.

a b c (Å): 7.843 7.843 7.843
angles (deg): 85.88 85.88 85.88
Sites, in units of the cell vectors:
Na  0.000  0.000  0.000
Sr  0.706  0.706  0.706
Sr  0.294  0.294  0.294
Mg  0.500  0.000  0.000
Mg  0.000  0.500  0.000
Mg  0.000  0.000  0.500
Cd  0.411  0.411  0.874
Cd  0.802  0.802  0.285
Cd  0.285  0.802  0.802
Cd  0.874  0.411  0.411
Cd  0.802  0.285  0.802
Cd  0.411  0.874  0.411
Cd  0.589  0.589  0.126
Cd  0.198  0.198  0.715
Cd  0.715  0.198  0.198
Cd  0.126  0.589  0.589
Cd  0.198  0.715  0.198
Cd  0.589  0.126  0.589

formation energy from the elements	-50	meV per atom
SG	R-3m
density of states at the Fermi level	10.08	states/eV/cell
theoretical density	5.6	g cm⁻³

The following is a GGA-PBE calculation of a relaxed structure of IrPbNF2, from Alexandria via LeMat-Bulk.

a b c (Å): 4.370 4.370 4.539
angles (deg): 90.00 90.00 90.00
Site moments in Bohr magnetons follow the coordinates.
Sites, in units of the cell vectors:
Pb  0.000  0.000  0.000  -0.01
N  0.000  0.000  0.500  -0.04
Ir  0.500  0.500  0.500  2.00
F  0.000  0.500  0.000  0.02
F  0.500  0.000  0.000  0.02

formation energy (no corrections)	3.4	eV per formula unit
SG	P4/mmm
density of states at the Fermi level	6.51	states/eV/cell
theoretical density	8.6	g cm⁻³

The following is a GGA-PBE calculation of a relaxed structure of NdZn2Au2, from Alexandria via LeMat-Bulk.

a b c (Å): 4.074 4.074 6.890
angles (deg): 107.20 107.20 90.00
Sites, in units of the cell vectors:
Nd  0.000  0.000  0.000
Zn  0.750  0.250  0.500
Zn  0.250  0.750  0.500
Au  0.612  0.612  0.224
Au  0.388  0.388  0.776

formation energy from the elements	-531	meV per atom
SG	I4/mmm
density of states at the Fermi level	3.39	states/eV/cell
theoretical density	10.7	g cm⁻³

- Look up the density of states at the Fermi level of the first one.
  10.08 states/eV/cell

- The highest theoretical density belongs to which entry?
  NdZn2Au2

Copy entry 2 word for word.
The following is a GGA-PBE calculation of a relaxed structure of IrPbNF2, from Alexandria via LeMat-Bulk.

a b c (Å): 4.370 4.370 4.539
angles (deg): 90.00 90.00 90.00
Site moments in Bohr magnetons follow the coordinates.
Sites, in units of the cell vectors:
Pb  0.000  0.000  0.000  -0.01
N  0.000  0.000  0.500  -0.04
Ir  0.500  0.500  0.500  2.00
F  0.000  0.500  0.000  0.02
F  0.500  0.000  0.000  0.02

formation energy (no corrections)	3.4	eV per formula unit
SG	P4/mmm
density of states at the Fermi level	6.51	states/eV/cell
theoretical density	8.6	g cm⁻³